Compound: Rb3NpCo2O6
Source: Alexandria
Functional: PBE with a Hubbard U
Structure: optimized geometry

The structure in CIF format:
```
data_Rb3NpCo2O6
_chemical_formula_sum 'Rb6 Np2 Co4 O12'
_symmetry_space_group_name_H-M 'C 1 2/m 1'
_symmetry_Int_Tables_number 12
_symmetry_space_group_name_Hall '-C 2y'
_cell_length_a 5.6226
_cell_length_b 11.5400
_cell_length_c 6.4813
_cell_angle_alpha 90.00
_cell_angle_beta 101.00
_cell_angle_gamma 90.00
loop_
_atom_site_label
_atom_site_type_symbol
_atom_site_fract_x
_atom_site_fract_y
_atom_site_fract_z
Rb1 Rb 0.0000 0.0000 0.0000
Rb2 Rb 0.0000 0.3167 0.0000
Np1 Np 0.0000 0.5000 0.5000
Co1 Co 0.0000 0.2251 0.5000
O1 O 0.1411 0.5000 0.2512
O2 O 0.2482 0.1552 0.3524
```

Properties
Uncorrected energy (eV/f.u.): -76.2
DOS(E_F) (states/eV/cell): 8.7